The following is a PBE calculation of a relaxed structure of Tm4PtSe2S, from the Alexandria database.

Geometry as extended XYZ:
```
8
Lattice="7.0284 0.0000 0.0000 0.0000 3.9173 0.0000 -2.2765 0.0000 6.6729" Properties=species:S:1:pos:R:3 pbc="T T T"
Tm 1.1434 0.0000 1.5216
Tm 0.0385 1.9586 5.1140
Tm 4.7134 1.9586 1.5589
Tm 3.6085 0.0000 5.1513
Pt 0.0000 1.9586 0.0000
Se -1.1382 0.0000 3.3364
Se 2.3759 1.9586 3.3364
S 3.5142 0.0000 0.0000
```

Electronic total energy ... -6.0175 eV per atom
Density of states at the Fermi level ... 0.54 states/eV/atom
Symmetry ... P2/m
Total magnetization ... 0.000 μB per formula unit
V ... 22.96 A^3/atom